No. 1
# Ta2CuRu (meta-GGA SCAN, PBEsol geometry)
data_Ta2CuRu
_chemical_formula_sum 'Ta8 Cu4 Ru4'
_cell_length_a 6.2126
_cell_length_b 6.2126
_cell_length_c 6.2126
_cell_angle_alpha 90.00
_cell_angle_beta 90.00
_cell_angle_gamma 90.00
_symmetry_space_group_name_H-M 'F -4 3 m'
_symmetry_Int_Tables_number 216
_symmetry_space_group_name_Hall 'F -4 2 3'
loop_
_atom_site_label
_atom_site_fract_x
_atom_site_fract_y
_atom_site_fract_z
_atom_site_occupancy
Ta1 0.0000 0.0000 0.0000 1
Ta2 0.2500 0.2500 0.2500 1
Cu1 0.2500 0.2500 0.7500 1
Ru1 0.0000 0.0000 0.5000 1
# formation energy from the elements	51	meV per atom
# N(E_F)	11.9	states/eV/cell
# DFT total energy	-45.747	eV per atom
# mass density	14.58	g cm⁻³


No. 2
# Be4TlP (meta-GGA SCAN, PBEsol geometry)
data_Be4TlP
_chemical_formula_sum 'Be16 Tl4 P4'
_cell_length_a 6.6755
_cell_length_b 6.6755
_cell_length_c 6.6755
_cell_angle_alpha 90.00
_cell_angle_beta 90.00
_cell_angle_gamma 90.00
_symmetry_space_group_name_H-M 'F -4 3 m'
_symmetry_Int_Tables_number 216
_symmetry_space_group_name_Hall 'F -4 2 3'
loop_
_atom_site_label
_atom_site_fract_x
_atom_site_fract_y
_atom_site_fract_z
_atom_site_occupancy
Be1 0.1233 0.1233 0.3767 1
Tl1 0.0000 0.0000 0.0000 1
P1 0.2500 0.2500 0.7500 1
# formation energy from the elements	609	meV per atom
# N(E_F)	7.5	states/eV/cell
# DFT total energy	-16.087	eV per atom
# mass density	6.06	g cm⁻³


No. 3
# K3Na (meta-GGA SCAN, PBEsol geometry)
data_K3Na
_chemical_formula_sum 'K6 Na2'
_cell_length_a 8.8369
_cell_length_b 8.8369
_cell_length_c 7.1053
_cell_angle_alpha 90.00
_cell_angle_beta 90.00
_cell_angle_gamma 120.00
_symmetry_space_group_name_H-M 'P 63/m m c'
_symmetry_Int_Tables_number 194
_symmetry_space_group_name_Hall '-P 6c 2c'
loop_
_atom_site_label
_atom_site_fract_x
_atom_site_fract_y
_atom_site_fract_z
_atom_site_occupancy
K1 0.1715 0.3429 0.2500 1
Na1 0.3333 0.6667 0.7500 1
# formation energy from the elements	13	meV per atom
# N(E_F)	5.1	states/eV/cell
# DFT total energy	-7.287	eV per atom
# mass density	0.97	g cm⁻³